Entry from Alexandria: crystalline VINO2 at its relaxed geometry (GGA+U).

Unit cell a=3.6952 b=3.6952 c=4.6942 alpha=90.00 beta=90.00 gamma=90.00
Atoms (fractional coordinates):
I: 0.5000 0.5000 0.5000
V: 0.0000 0.0000 0.0000
O: 0.5000 0.0000 0.0000
O: 0.0000 0.5000 0.0000
N: 0.0000 0.0000 0.5000

Values from the calculation:
**Spin magnetization**: 0.00 μB per atom
**Raw total energy**: -5.516 eV/atom
**DOS at the Fermi energy**: 3.42 states/eV/f.u.